Nd3BiPCl | PBE | optimized geometry

For the raw formation energy, the calculation gives -1240 meV/atom. For the density of states at the Fermi level, the calculation gives 6.1 states/eV/cell. Its energy is -5.480 eV per atom. The value obtained for the magnetization is 1.66 Bohr magnetons per cell.

Cell lengths 8.6477, 4.3542, 9.6585 Å; angles 90.00, 103.37, 90.00 degrees
With the nearest neighbours (Å) after each atom.
Fractional positions:
Nd 0.0679 0.2500 0.3538  3 P 2.85-2.93
Nd 0.2135 0.2500 0.9772  2 Cl 2.81, 1 P 3.02
Nd 0.3854 0.7500 0.6328  1 Cl 2.76, 2 P 2.96
Nd 0.6146 0.2500 0.3672  1 Cl 2.76, 2 P 2.96
Nd 0.7865 0.7500 0.0228  2 Cl 2.81, 1 P 3.02
Nd 0.9321 0.7500 0.6462  3 P 2.85-2.93
Bi 0.3129 0.7500 0.2696  7 Nd 3.27-3.51, 1 Cl 3.60
Bi 0.6871 0.2500 0.7304  7 Nd 3.27-3.51, 1 Cl 3.60
P 0.1609 0.2500 0.6569  6 Nd 2.85-3.02
P 0.8391 0.7500 0.3431  6 Nd 2.85-3.02
Cl 0.3949 0.7500 0.9205  3 Nd 2.76-2.81, 2 Cl 3.02
Cl 0.6051 0.2500 0.0795  3 Nd 2.76-2.81, 2 Cl 3.02